[1]
# Er5TlCd6 PBE optimized geometry
data_Er5TlCd6
_space_group_name_H-M_alt 'I m m m'
_space_group_IT_number 71
_space_group_name_Hall '-I 2 2'
_cell_length_a 5.146
_cell_length_b 7.582
_cell_length_c 15.614
_cell_angle_alpha 90.00
_cell_angle_beta 90.00
_cell_angle_gamma 90.00
loop_
_atom_site_label
_atom_site_fract_x
_atom_site_fract_y
_atom_site_fract_z
_atom_site_occupancy
Er1 0.000 0.000 0.000 1
Er2 0.000 0.000 0.343 1
Er3 0.000 0.500 0.329 1
Tl1 0.000 0.500 0.000 1
Cd1 0.000 0.246 0.170 1
Cd2 0.000 0.263 0.500 1
# total magnetization = 0.000 μB per atom
# calculated density = 9.35 g/cm³
# DFT total energy = -2.82 eV/atom
# crystal system = orthorhombic

[2]
# LiAcSmBi PBE optimized geometry
data_LiAcSmBi
_space_group_name_H-M_alt 'F -4 3 m'
_space_group_IT_number 216
_space_group_name_Hall 'F -4 2 3'
_cell_length_a 7.951
_cell_length_b 7.951
_cell_length_c 7.951
_cell_angle_alpha 90.00
_cell_angle_beta 90.00
_cell_angle_gamma 90.00
loop_
_atom_site_label
_atom_site_fract_x
_atom_site_fract_y
_atom_site_fract_z
_atom_site_occupancy
Li1 0.000 0.000 0.000 1
Ac1 0.250 0.250 0.750 1
Sm1 0.250 0.250 0.250 1
Bi1 0.000 0.000 0.500 1
# total magnetization = 0.000 μB per atom
# calculated density = 7.84 g/cm³
# DFT total energy = -3.97 eV/atom
# crystal system = cubic

[3]
# MgPa2SnN5 PBE optimized geometry
data_MgPa2SnN5
_space_group_name_H-M_alt 'C m c 21'
_space_group_IT_number 36
_space_group_name_Hall 'C 2c -2'
_cell_length_a 3.509
_cell_length_b 12.946
_cell_length_c 11.214
_cell_angle_alpha 90.00
_cell_angle_beta 90.00
_cell_angle_gamma 90.00
loop_
_atom_site_label
_atom_site_fract_x
_atom_site_fract_y
_atom_site_fract_z
_atom_site_occupancy
Mg1 0.000 0.033 0.000 1
Pa1 0.000 0.347 0.810 1
Pa2 0.000 0.417 0.211 1
Sn1 0.000 0.277 0.540 1
N1 0.000 0.021 0.319 1
N2 0.000 0.117 0.587 1
N3 0.000 0.201 0.934 1
N4 0.000 0.235 0.228 1
N5 0.000 0.434 0.608 1
# formation energy from raw total energies = -0.83 eV per atom
# total magnetization = 0.000 μB per atom
# calculated density = 8.80 g/cm³
# crystal system = orthorhombic

[4]
# Pm4Pr5Dy3 PBE optimized geometry
data_Pm4Pr5Dy3
_space_group_name_H-M_alt 'C 1 2/m 1'
_space_group_IT_number 12
_space_group_name_Hall '-C 2y'
_cell_length_a 11.550
_cell_length_b 5.581
_cell_length_c 13.544
_cell_angle_alpha 90.00
_cell_angle_beta 105.71
_cell_angle_gamma 90.00
loop_
_atom_site_label
_atom_site_fract_x
_atom_site_fract_y
_atom_site_fract_z
_atom_site_occupancy
Pm1 0.092 0.000 0.130 1
Pm2 0.230 0.000 0.395 1
Pr1 0.000 0.500 0.500 1
Pr2 0.138 0.500 0.964 1
Pr3 0.168 0.000 0.764 1
Dy1 0.000 0.000 0.500 1
Dy2 0.045 0.500 0.283 1
# total magnetization = 0.017 μB per atom
# calculated density = 7.00 g/cm³
# DFT total energy = -4.52 eV/atom
# crystal system = monoclinic

[5]
# Tl2TcF7 PBE optimized geometry
data_Tl2TcF7
_space_group_name_H-M_alt 'C 1 2/c 1'
_space_group_IT_number 15
_space_group_name_Hall '-C 2yc'
_cell_length_a 14.287
_cell_length_b 6.604
_cell_length_c 10.155
_cell_angle_alpha 90.00
_cell_angle_beta 131.58
_cell_angle_gamma 90.00
loop_
_atom_site_label
_atom_site_fract_x
_atom_site_fract_y
_atom_site_fract_z
_atom_site_occupancy
Tl1 0.158 0.167 0.240 1
Tc1 0.000 0.301 0.750 1
F1 0.000 0.400 0.250 1
F2 0.074 0.055 0.903 1
F3 0.106 0.300 0.692 1
F4 0.145 0.389 0.987 1
# formation energy from raw total energies = -2.01 eV per atom
# total magnetization = 0.200 μB per atom
# calculated density = 5.93 g/cm³
# crystal system = monoclinic

[6]
# TbTi2Ga8 PBE optimized geometry
data_TbTi2Ga8
_space_group_name_H-M_alt 'C 1 2/m 1'
_space_group_IT_number 12
_space_group_name_Hall '-C 2y'
_cell_length_a 7.347
_cell_length_b 11.817
_cell_length_c 5.177
_cell_angle_alpha 90.00
_cell_angle_beta 109.48
_cell_angle_gamma 90.00
loop_
_atom_site_label
_atom_site_fract_x
_atom_site_fract_y
_atom_site_fract_z
_atom_site_occupancy
Tb1 0.000 0.000 0.000 1
Ti1 0.000 0.284 0.500 1
Ga1 0.000 0.255 0.000 1
Ga2 0.081 0.500 0.766 1
Ga3 0.227 0.108 0.655 1
# total magnetization = 0.000 μB per atom
# calculated density = 6.37 g/cm³
# DFT total energy = -4.24 eV/atom
# crystal system = monoclinic

What did the fourth record say?
# Pm4Pr5Dy3 PBE optimized geometry
data_Pm4Pr5Dy3
_space_group_name_H-M_alt 'C 1 2/m 1'
_space_group_IT_number 12
_space_group_name_Hall '-C 2y'
_cell_length_a 11.550
_cell_length_b 5.581
_cell_length_c 13.544
_cell_angle_alpha 90.00
_cell_angle_beta 105.71
_cell_angle_gamma 90.00
loop_
_atom_site_label
_atom_site_fract_x
_atom_site_fract_y
_atom_site_fract_z
_atom_site_occupancy
Pm1 0.092 0.000 0.130 1
Pm2 0.230 0.000 0.395 1
Pr1 0.000 0.500 0.500 1
Pr2 0.138 0.500 0.964 1
Pr3 0.168 0.000 0.764 1
Dy1 0.000 0.000 0.500 1
Dy2 0.045 0.500 0.283 1
# total magnetization = 0.017 μB per atom
# calculated density = 7.00 g/cm³
# DFT total energy = -4.52 eV/atom
# crystal system = monoclinic

> calculated density of number 1 (Er5TlCd6)?

9.35 g/cm³

> Look up the calculated density of the second one.

7.84 g/cm³

Repeat the first record exactly.
# Er5TlCd6 PBE optimized geometry
data_Er5TlCd6
_space_group_name_H-M_alt 'I m m m'
_space_group_IT_number 71
_space_group_name_Hall '-I 2 2'
_cell_length_a 5.146
_cell_length_b 7.582
_cell_length_c 15.614
_cell_angle_alpha 90.00
_cell_angle_beta 90.00
_cell_angle_gamma 90.00
loop_
_atom_site_label
_atom_site_fract_x
_atom_site_fract_y
_atom_site_fract_z
_atom_site_occupancy
Er1 0.000 0.000 0.000 1
Er2 0.000 0.000 0.343 1
Er3 0.000 0.500 0.329 1
Tl1 0.000 0.500 0.000 1
Cd1 0.000 0.246 0.170 1
Cd2 0.000 0.263 0.500 1
# total magnetization = 0.000 μB per atom
# calculated density = 9.35 g/cm³
# DFT total energy = -2.82 eV/atom
# crystal system = orthorhombic